4
Lattice="-2.225 4.595 0.724 -3.571 -0.493 3.687 4.967 -1.379 -0.112" Properties=species:S:1:pos:R:3 comment="Mg2IrPb | the Alexandria database | GGA-PBE | optimized geometry" ef_ev_per_atom=-0.05 space_group=I4/mmm pbc="T T T"
Ir -0.077 2.634 1.409
Mg 0.000 0.000 0.000
Mg -2.898 2.051 2.206
Pb -0.750 0.090 2.891

=====

5
Lattice="-3.806 0.742 -3.489 -2.141 -4.556 1.367 -2.853 2.430 3.629" Properties=species:S:1:pos:R:3 comment="Mg3IrPb | the Alexandria database | GGA-PBE | optimized geometry" ef_ev_per_atom=1.06 space_group=Pm-3m pbc="T T T"
Pb 0.000 0.000 0.000
Mg -1.071 -2.278 0.684
Mg -1.426 1.215 1.814
Mg -1.903 0.371 -1.745
Ir -4.400 -0.692 0.753

=====

5
Lattice="4.598 0.000 0.000 0.000 4.598 0.000 0.000 0.000 4.598" Properties=species:S:1:pos:R:3 comment="MgIr3Pb | the Alexandria database | GGA-PBE | optimized geometry" ef_ev_per_atom=1.33 space_group=Pm-3m pbc="T T T"
Pb 2.299 2.299 2.299
Mg 0.000 0.000 0.000
Ir 0.000 2.299 0.000
Ir 0.000 0.000 2.299
Ir 2.299 0.000 0.000

=====

The evaluated ρ for the records listed, in turn: 9.758, 5.525, 13.807 Mg/m³.